Record 1
Compound: NpTePd
Source: Alexandria
Functional: PBE
Structure: relaxed

Excess energy over the best structure of this formula in the dataset (meV/atom): 92
Formation energy without anion corrections (eV per atom): -0.32

Cell: 3.817 3.817 5.448 Å, 110.51 110.51 90.00°
Last column: magnetic moment on the atom in μB.
Element x y z (fractional)
1 Np 0.945 0.945 0.890  3.74
2 Te 0.614 0.614 0.228  -0.08
3 Pd 0.291 0.291 0.582  -0.12



Record 2
Compound: SrZnHg2
Source: Alexandria
Functional: PBE
Structure: relaxed

Energy relative to the elements (kJ/mol of atoms): -25.21

Cell: 4.297 3.829 6.864 Å, 72.58 90.00 90.00°
Element x y z (fractional)
1 Hg 0.000 0.917 0.965
2 Hg 0.000 0.583 0.535
3 Sr 0.500 0.250 0.250
4 Zn 0.500 0.750 0.750